[1]
Entry from the Alexandria database: CsBiAsSe2 after structural relaxation (PBE-GGA).

a = 5.5438 Å, b = 5.5438 Å, c = 5.9307 Å
α = 90.00°, β = 90.00°, γ = 90.00°
Last column: nearest neighbours and their distance in Å.
Atoms (fractional coordinates):
1 Cs 0.0000 0.0000 0.0000  4 Se 2.77, 2 As 2.97
2 As 0.0000 0.0000 0.5000  2 Cs 2.97
3 Bi 0.5000 0.5000 0.5000  4 As 3.92, 8 Se 4.06
4 Se 0.0000 0.5000 0.0000  2 Cs 2.77
5 Se 0.5000 0.0000 0.0000  2 Cs 2.77

Output
The energy relative to the lowest polymorph listed for this composition comes out at 1290.2 meV per atom. The calculation puts the formation energy without anion corrections at 1.253 eV/atom.

***

[2]
Entry from the Alexandria database: CsSrBi2As after structural relaxation (PBE-GGA).

a = 5.9357 Å, b = 5.8089 Å, c = 5.9357 Å
α = 90.00°, β = 90.00°, γ = 90.00°
Last column: nearest neighbours and their distance in Å.
Atoms (fractional coordinates):
1 Cs 0.5000 0.5000 0.5000  8 Bi 4.15, 4 Sr 4.20
2 Sr 0.0000 0.5000 0.0000  2 As 2.90
3 As 0.0000 0.0000 0.0000  2 Sr 2.90, 4 Bi 2.97
4 Bi 0.0000 0.0000 0.5000  2 As 2.97
5 Bi 0.5000 0.0000 0.0000  2 As 2.97

Output
The calculation puts the formation energy at -1.046 eV per formula unit.

***

[3]
Entry from the Alexandria database: CuBiAs after structural relaxation (PBE-GGA).

a = 4.5774 Å, b = 4.5774 Å, c = 4.5774 Å
α = 60.00°, β = 60.00°, γ = 60.00°
Last column: nearest neighbours and their distance in Å.
Atoms (fractional coordinates):
1 As 0.5000 0.5000 0.5000  4 Cu 2.80
2 Bi 0.0000 0.0000 0.0000  4 Cu 2.80
3 Cu 0.2500 0.2500 0.2500  4 Bi 2.80, 4 As 2.80

Output
The energy relative to the lowest polymorph listed for this composition comes out at 62.0 meV per atom. The calculation puts the formation energy at 0.484 eV per formula unit.

***

[4]
Entry from the Alexandria database: Cu2BiAs2 after structural relaxation (PBE-GGA).

a = 4.3832 Å, b = 4.3832 Å, c = 5.8853 Å
α = 68.14°, β = 68.14°, γ = 90.00°
Last column: nearest neighbours and their distance in Å.
Atoms (fractional coordinates):
1 As 0.3740 0.3740 0.2520  4 Cu 2.52, 1 As 2.52
2 As 0.6260 0.6260 0.7480  4 Cu 2.52, 1 As 2.52
3 Bi 0.0000 0.0000 0.0000  8 Cu 3.33, 8 As 3.35
4 Cu 0.7500 0.2500 0.5000  4 As 2.52
5 Cu 0.2500 0.7500 0.5000  4 As 2.52

Output
The energy relative to the lowest polymorph listed for this composition comes out at 0.0 meV per atom. The calculation puts the formation energy at 0.896 eV per formula unit.

***

[5]
Entry from the Alexandria database: CuBiAs after structural relaxation (PBE-GGA).

a = 4.7102 Å, b = 3.9938 Å, c = 3.9938 Å
α = 120.00°, β = 90.00°, γ = 90.00°
Last column: nearest neighbours and their distance in Å.
Atoms (fractional coordinates):
1 As 0.2312 0.6667 0.3333  3 Cu 2.45
2 Bi 0.7123 0.3333 0.6667  3 Cu 2.82
3 Cu 0.0565 0.0000 0.0000  3 As 2.45

Output
The energy relative to the lowest polymorph listed for this composition comes out at 0.0 meV per atom. The calculation puts the formation energy at 0.298 eV per formula unit.

***

[6]
Entry from the Alexandria database: CuBiAs3 after structural relaxation (PBE-GGA).

a = 4.8034 Å, b = 4.8034 Å, c = 4.8034 Å
α = 90.00°, β = 90.00°, γ = 90.00°
Last column: nearest neighbours and their distance in Å.
Atoms (fractional coordinates):
1 As 0.0000 0.5000 0.0000  2 Cu 2.40
2 As 0.0000 0.0000 0.5000  2 Cu 2.40
3 As 0.5000 0.0000 0.0000  2 Cu 2.40
4 Bi 0.5000 0.5000 0.5000  12 As 3.40
5 Cu 0.0000 0.0000 0.0000  6 As 2.40

Output
The energy relative to the lowest polymorph listed for this composition comes out at 0.0 meV per atom. The calculation puts the formation energy at 2.372 eV per formula unit.

***

[7]
Entry from the Alexandria database: Cu2BiAs2 after structural relaxation (PBE-GGA).

a = 7.9251 Å, b = 7.9251 Å, c = 3.0702 Å
α = 90.00°, β = 90.00°, γ = 90.00°
Last column: nearest neighbours and their distance in Å.
Atoms (fractional coordinates):
1 As 0.3386 0.8386 0.0000  6 Cu 2.70-2.94, 2 Bi 2.97
2 As 0.8386 0.6614 0.0000  6 Cu 2.70-2.94, 2 Bi 2.97
3 As 0.6614 0.1614 0.0000  6 Cu 2.70-2.94, 2 Bi 2.97
4 As 0.1614 0.3386 0.0000  6 Cu 2.70-2.94, 2 Bi 2.97
5 Bi 0.0000 0.0000 0.0000  4 As 2.97, 2 Bi 3.07
6 Bi 0.5000 0.5000 0.0000  4 As 2.97, 2 Bi 3.07
7 Cu 0.1153 0.6153 0.5000  1 Cu 2.58, 4 As 2.70
8 Cu 0.6153 0.8847 0.5000  1 Cu 2.58, 4 As 2.70
9 Cu 0.8847 0.3847 0.5000  1 Cu 2.58, 4 As 2.70
10 Cu 0.3847 0.1153 0.5000  1 Cu 2.58, 4 As 2.70

Output
The energy relative to the lowest polymorph listed for this composition comes out at 81.7 meV per atom. The calculation puts the formation energy at 1.305 eV per formula unit.

***

[8]
Entry from the Alexandria database: CuBi2As2 after structural relaxation (PBE-GGA).

a = 6.3980 Å, b = 6.3980 Å, c = 6.0181 Å
α = 90.00°, β = 90.00°, γ = 90.00°
Last column: nearest neighbours and their distance in Å.
Atoms (fractional coordinates):
1 As 0.3596 0.8596 0.0000  2 Cu 2.47, 1 As 2.54
2 As 0.8596 0.6404 0.0000  2 Cu 2.47, 1 As 2.54
3 As 0.6404 0.1404 0.0000  2 Cu 2.47, 1 As 2.54
4 As 0.1404 0.3596 0.0000  2 Cu 2.47, 1 As 2.54
5 Bi 0.3086 0.8086 0.5000  2 As 3.04, 4 Bi 3.29
6 Bi 0.8086 0.6914 0.5000  2 As 3.04, 4 Bi 3.29
7 Bi 0.6914 0.1914 0.5000  2 As 3.04, 4 Bi 3.29
8 Bi 0.1914 0.3086 0.5000  2 As 3.04, 4 Bi 3.29
9 Cu 0.0000 0.0000 0.0000  4 As 2.47
10 Cu 0.5000 0.5000 0.0000  4 As 2.47

Output
The energy relative to the lowest polymorph listed for this composition comes out at 0.0 meV per atom. The calculation puts the formation energy at 0.307 eV per formula unit.

***

[9]
Entry from the Alexandria database: Cu2BiAs2 after structural relaxation (PBE-GGA).

a = 4.0446 Å, b = 4.0446 Å, c = 6.4236 Å
α = 71.65°, β = 71.65°, γ = 90.00°
Last column: nearest neighbours and their distance in Å.
Atoms (fractional coordinates):
1 As 0.7500 0.2500 0.5000  4 Cu 2.60, 4 As 2.86
2 As 0.2500 0.7500 0.5000  4 Cu 2.60, 4 As 2.86
3 Bi 0.0000 0.0000 0.0000  8 Cu 3.12
4 Cu 0.3919 0.3919 0.2161  1 Cu 2.49, 4 As 2.60
5 Cu 0.6081 0.6081 0.7839  1 Cu 2.49, 4 As 2.60

Output
The energy relative to the lowest polymorph listed for this composition comes out at 2.7 meV per atom. The calculation puts the formation energy at 0.910 eV per formula unit.

***

[10]
Entry from the Alexandria database: Cu2BiAs2 after structural relaxation (PBE-GGA).

a = 7.5428 Å, b = 7.5428 Å, c = 3.2608 Å
α = 90.00°, β = 90.00°, γ = 90.00°
Last column: nearest neighbours and their distance in Å.
Atoms (fractional coordinates):
1 As 0.1520 0.6520 0.5000  6 Cu 2.64-2.91
2 As 0.6520 0.8480 0.5000  6 Cu 2.64-2.91
3 As 0.8480 0.3480 0.5000  6 Cu 2.64-2.91
4 As 0.3480 0.1520 0.5000  6 Cu 2.64-2.91
5 Bi 0.0000 0.0000 0.0000  4 Cu 3.00, 2 Bi 3.26, 8 As 3.30
6 Bi 0.5000 0.5000 0.0000  4 Cu 3.00, 2 Bi 3.26, 8 As 3.30
7 Cu 0.3780 0.8780 0.0000  1 Cu 2.60, 6 As 2.64-2.91
8 Cu 0.8780 0.6220 0.0000  1 Cu 2.60, 6 As 2.64-2.91
9 Cu 0.6220 0.1220 0.0000  1 Cu 2.60, 6 As 2.64-2.91
10 Cu 0.1220 0.3780 0.0000  1 Cu 2.60, 6 As 2.64-2.91

Output
The energy relative to the lowest polymorph listed for this composition comes out at 59.5 meV per atom. The calculation puts the formation energy at 1.194 eV per formula unit.

***

[11]
Entry from the Alexandria database: CuBi2As after structural relaxation (PBE-GGA).

a = 6.2787 Å, b = 6.2787 Å, c = 7.7314 Å
α = 66.04°, β = 66.04°, γ = 90.00°
Last column: nearest neighbours and their distance in Å.
Atoms (fractional coordinates):
1 As 0.0000 0.0000 0.0000  4 Bi 2.83
2 As 0.7500 0.2500 0.5000  4 Bi 2.83
3 Bi 0.5973 0.1250 0.2500  2 Cu 2.63, 2 As 2.83
4 Bi 0.1527 0.6250 0.2500  2 Cu 2.63, 2 As 2.83
5 Bi 0.3750 0.4027 0.7500  2 Cu 2.63, 2 As 2.83
6 Bi 0.8750 0.8473 0.7500  2 Cu 2.63, 2 As 2.83
7 Cu 0.5000 0.5000 0.0000  4 Bi 2.63
8 Cu 0.2500 0.7500 0.5000  4 Bi 2.63

Output
The calculation puts the formation energy at 0.856 eV per formula unit.

***

[12]
Entry from the Alexandria database: CuBi2As2 after structural relaxation (PBE-GGA).

a = 3.6521 Å, b = 3.6521 Å, c = 9.5363 Å
α = 78.96°, β = 78.96°, γ = 90.00°
Last column: nearest neighbours and their distance in Å.
Atoms (fractional coordinates):
1 As 0.7500 0.2500 0.5000  4 As 2.58
2 As 0.2500 0.7500 0.5000  4 As 2.58
3 Bi 0.4116 0.4116 0.1768  4 Cu 3.05, 1 Bi 3.25
4 Bi 0.5884 0.5884 0.8232  4 Cu 3.05, 1 Bi 3.25
5 Cu 0.0000 0.0000 0.0000  8 Bi 3.05

Output
The energy relative to the lowest polymorph listed for this composition comes out at 224.9 meV per atom. The calculation puts the formation energy at 1.432 eV per formula unit.

***

[13]
Entry from the Alexandria database: Cu4BiAs after structural relaxation (PBE-GGA).

a = 5.1285 Å, b = 5.1285 Å, c = 5.1285 Å
α = 60.00°, β = 60.00°, γ = 60.00°
Last column: nearest neighbours and their distance in Å.
Atoms (fractional coordinates):
1 As 0.0000 0.0000 0.0000  12 Cu 3.01, 4 Bi 3.14
2 Bi 0.2500 0.2500 0.2500  12 Cu 3.01, 4 As 3.14
3 Cu 0.6255 0.6255 0.1236  6 Cu 2.55-2.57
4 Cu 0.6255 0.1236 0.6255  6 Cu 2.55-2.57
5 Cu 0.6255 0.6255 0.6255  6 Cu 2.55-2.57
6 Cu 0.1236 0.6255 0.6255  6 Cu 2.55-2.57

Output
The calculation puts the formation energy at 0.983 eV per formula unit.

***

[14]
Entry from the Alexandria database: CuBiAs after structural relaxation (PBE-GGA).

a = 3.9680 Å, b = 6.7921 Å, c = 9.8975 Å
α = 90.00°, β = 90.00°, γ = 90.00°
Last column: nearest neighbours and their distance in Å.
Atoms (fractional coordinates):
1 As 0.7500 0.3210 0.1612  3 Cu 2.47-2.48
2 As 0.7500 0.1790 0.6612  3 Cu 2.47-2.48
3 As 0.2500 0.8210 0.3388  3 Cu 2.47-2.48
4 As 0.2500 0.6790 0.8388  3 Cu 2.47-2.48
5 Cu 0.2500 0.9661 0.6835  3 As 2.47-2.48
6 Cu 0.2500 0.5339 0.1835  3 As 2.47-2.48
7 Cu 0.7500 0.4661 0.8165  3 As 2.47-2.48
8 Cu 0.7500 0.0339 0.3165  3 As 2.47-2.48
9 Bi 0.2500 0.2096 0.9255  3 Cu 2.85-2.91, 2 As 3.15
10 Bi 0.2500 0.2904 0.4255  3 Cu 2.85-2.91, 2 As 3.15
11 Bi 0.7500 0.7096 0.5745  3 Cu 2.85-2.91, 2 As 3.15
12 Bi 0.7500 0.7904 0.0745  3 Cu 2.85-2.91, 2 As 3.15

Output
The energy relative to the lowest polymorph listed for this composition comes out at 11.8 meV per atom. The calculation puts the formation energy at 0.333 eV per formula unit.

***

[15]
Entry from the Alexandria database: Cu2BiAsH after structural relaxation (PBE-GGA).

a = 5.0906 Å, b = 3.7136 Å, c = 5.0906 Å
α = 90.00°, β = 90.00°, γ = 90.00°
Last column: nearest neighbours and their distance in Å.
Atoms (fractional coordinates):
1 H 0.0000 0.5000 0.0000  2 Bi 1.86
2 As 0.5000 0.5000 0.5000  8 Cu 3.15
3 Bi 0.0000 0.0000 0.0000  2 H 1.86
4 Cu 0.0000 0.0000 0.5000  2 Bi 2.55
5 Cu 0.5000 0.0000 0.0000  2 Bi 2.55

Output
As for the total energy: -3.217 eV per atom.

***

[16]
Entry from the Alexandria database: CuHg2BiAs after structural relaxation (PBE-GGA).

a = 5.8536 Å, b = 5.5374 Å, c = 5.8536 Å
α = 90.00°, β = 90.00°, γ = 90.00°
Last column: nearest neighbours and their distance in Å.
Atoms (fractional coordinates):
1 As 0.0000 0.5000 0.0000  2 Bi 2.77
2 Bi 0.0000 0.0000 0.0000  2 As 2.77, 4 Hg 2.93
3 Cu 0.5000 0.5000 0.5000  8 Hg 4.03, 4 As 4.14
4 Hg 0.0000 0.0000 0.5000  2 Bi 2.93
5 Hg 0.5000 0.0000 0.0000  2 Bi 2.93

Output
The calculation puts the formation energy at 4.583 eV per formula unit.

***

[17]
Entry from the Alexandria database: Cu2BiAsIr after structural relaxation (PBE-GGA).

a = 4.3507 Å, b = 5.8612 Å, c = 4.3507 Å
α = 90.00°, β = 90.00°, γ = 90.00°
Last column: nearest neighbours and their distance in Å.
Atoms (fractional coordinates):
1 As 0.0000 0.0000 0.0000  4 Cu 2.18
2 Ir 0.5000 0.5000 0.5000  4 Bi 3.08
3 Bi 0.0000 0.5000 0.0000  2 As 2.93, 4 Ir 3.08
4 Cu 0.0000 0.0000 0.5000  2 As 2.18
5 Cu 0.5000 0.0000 0.0000  2 As 2.18

Output
The calculation puts the formation energy at 4.524 eV per formula unit.

***

[18]
Entry from the Alexandria database: CuBiAsO5 after structural relaxation (PBE-GGA).

a = 6.0528 Å, b = 6.0528 Å, c = 8.3962 Å
α = 110.49°, β = 110.49°, γ = 91.70°
Last column: nearest neighbours and their distance in Å.
Atoms (fractional coordinates):
1 Cu 0.3159 0.6841 0.2500  3 O 1.81-1.98
2 Cu 0.6841 0.3159 0.7500  3 O 1.81-1.98
3 Bi 0.0000 0.0000 0.5000  6 O 2.30-2.39
4 Bi 0.0000 0.0000 0.0000  6 O 2.30-2.39
5 As 0.6352 0.3648 0.2500  4 O 1.70-1.77
6 As 0.3648 0.6352 0.7500  4 O 1.70-1.77
7 O 0.1070 0.8930 0.2500  1 Cu 1.81
8 O 0.8930 0.1070 0.7500  1 Cu 1.81
9 O 0.7373 0.2567 0.0770  1 As 1.70
10 O 0.2627 0.7433 0.9230  1 As 1.70
11 O 0.7433 0.2627 0.4230  1 As 1.70
12 O 0.2567 0.7373 0.5770  1 As 1.70
13 O 0.6652 0.6799 0.3353  1 As 1.77
14 O 0.3348 0.3201 0.6647  1 As 1.77
15 O 0.3201 0.3348 0.1647  1 As 1.77
16 O 0.6799 0.6652 0.8353  1 As 1.77

Output
The calculation puts the formation energy without anion corrections at -1.018 eV/atom.

***

[19]
Entry from the Alexandria database: CuBi2AsPd after structural relaxation (PBE-GGA).

a = 5.3113 Å, b = 4.4533 Å, c = 5.3113 Å
α = 90.00°, β = 90.00°, γ = 90.00°
Last column: nearest neighbours and their distance in Å.
Atoms (fractional coordinates):
1 As 0.0000 0.5000 0.0000  2 Cu 2.23
2 Cu 0.0000 0.0000 0.0000  2 As 2.23
3 Bi 0.0000 0.0000 0.5000  2 Cu 2.66
4 Bi 0.5000 0.0000 0.0000  2 Cu 2.66
5 Pd 0.5000 0.5000 0.5000  8 Bi 3.47, 4 As 3.76

Output
The calculation puts the formation energy at 2.441 eV per formula unit.

***

[20]
Entry from the Alexandria database: CuBi2As2Pd7 after structural relaxation (PBE-GGA).

a = 4.0382 Å, b = 4.0382 Å, c = 14.4353 Å
α = 78.54°, β = 78.54°, γ = 89.68°
Last column: nearest neighbours and their distance in Å.
Atoms (fractional coordinates):
1 Cu 0.0000 0.0000 0.0000  12 Pd 2.77-2.86
2 Bi 0.7402 0.7402 0.3863  5 Pd 2.80-2.97
3 Bi 0.2598 0.2598 0.6137  5 Pd 2.80-2.97
4 As 0.6696 0.6696 0.7590  5 Pd 2.48-2.54
5 As 0.3304 0.3304 0.2410  5 Pd 2.48-2.54
6 Pd 0.5000 0.5000 0.0000  8 Pd 2.77, 4 Cu 2.85-2.86
7 Pd 0.2234 0.2234 0.4242  1 As 2.54, 1 Bi 2.80
8 Pd 0.7766 0.7766 0.5758  1 As 2.54, 1 Bi 2.80
9 Pd 0.9034 0.4033 0.1367  2 As 2.48, 2 Cu 2.77, 2 Pd 2.77
10 Pd 0.4033 0.9034 0.1367  2 As 2.48, 2 Cu 2.77, 2 Pd 2.77
11 Pd 0.5967 0.0966 0.8633  2 As 2.48, 2 Cu 2.77, 2 Pd 2.77
12 Pd 0.0966 0.5967 0.8633  2 As 2.48, 2 Cu 2.77, 2 Pd 2.77

Output
The calculation puts the formation energy at -2.459 eV per formula unit.

***

V across the listed records, respectively: 36.455; 40.932; 22.607; 19.224; 21.688; 22.165; 19.283; 24.635; 18.819; 18.552; 31.190; 24.488; 15.897; 22.229; 19.247; 37.948; 22.189; 16.613; 25.126; 18.831 Å³ per atom.
D(E_F) across the listed records, respectively: 5.7; 3.3; 1.7; 3.5; 1.4; 4.6; 4.2; 5.2; 2.8; 3.6; 1.3; 2.5; 2.3; 4.6; 3.4; 4.6; 1.7; 4.2; 2.4; 6.8 states/eV per cell.